Version one
KCd3Pd: optimized geometry, PBE.

```
KCd3Pd
1.0
5.124 0.000 0.000
-2.562 4.437 0.000
0.000 0.000 10.815
K Cd Pd
2 6 2
Direct
0.333 0.667 0.250
0.667 0.333 0.750
0.000 0.000 0.250
0.000 0.000 0.750
0.333 0.667 0.561
0.333 0.667 0.939
0.667 0.333 0.061
0.667 0.333 0.439
0.000 0.000 0.000
0.000 0.000 0.500
```

DOS at the Fermi energy = 1.83 states/eV/f.u.
M_tot = 0.00 μB/f.u.

=====

Version two
KCd3Pd: optimized geometry, PBE.

```
KCd3Pd
1.0
6.132 0.000 0.000
0.000 6.132 0.000
0.000 0.000 6.132
K Cd Pd
1 3 1
Direct
0.000 0.000 0.000
0.000 0.000 0.500
0.000 0.500 0.000
0.500 0.000 0.000
0.500 0.500 0.500
```

DOS at the Fermi energy = 4.16 states/eV/f.u.
M_tot = 0.00 μB/f.u.

=====

Version three
KCd3Pd: optimized geometry, PBE.

```
KCd3Pd
1.0
4.588 0.000 0.000
-2.294 3.973 0.000
0.000 0.000 20.822
K Cd Pd
2 6 2
Direct
0.000 0.000 0.000
0.000 0.000 0.500
0.000 0.000 0.250
0.000 0.000 0.750
0.333 0.667 0.122
0.333 0.667 0.378
0.667 0.333 0.622
0.667 0.333 0.878
0.333 0.667 0.250
0.667 0.333 0.750
```

DOS at the Fermi energy = 1.56 states/eV/f.u.
M_tot = 0.00 μB/f.u.

=====

Version four
KCd3Pd: optimized geometry, PBE.

```
KCd3Pd
1.0
5.683 -6.687 0.000
5.683 6.687 0.000
-0.842 0.000 7.019
K Cd Pd
4 12 4
Direct
0.005 0.735 0.829
0.265 0.995 0.671
0.735 0.005 0.329
0.995 0.265 0.171
0.127 0.358 0.698
0.204 0.622 0.408
0.341 0.441 0.062
0.358 0.127 0.198
0.378 0.796 0.092
0.441 0.341 0.562
0.559 0.659 0.438
0.622 0.204 0.908
0.642 0.873 0.802
0.659 0.559 0.938
0.796 0.378 0.592
0.873 0.642 0.302
0.122 0.878 0.250
0.381 0.619 0.750
0.619 0.381 0.250
0.878 0.122 0.750
```

DOS at the Fermi energy = 1.48 states/eV/f.u.
M_tot = 0.00 μB/f.u.

=====

Quick one: least stable of them? version two

=====

Version one
KCd3Pd: optimized geometry, PBE.

```
KCd3Pd
1.0
3.991 -6.362 0.000
3.991 6.362 0.000
0.000 0.000 5.412
K Cd Pd
2 6 2
Direct
0.068 0.932 0.750
0.932 0.068 0.250
0.082 0.572 0.250
0.428 0.918 0.250
0.500 0.500 0.000
0.500 0.500 0.500
0.572 0.082 0.750
0.918 0.428 0.750
0.313 0.687 0.750
0.687 0.313 0.250
```

DOS at the Fermi energy = 1.65 states/eV/f.u.
M_tot = 0.00 μB/f.u.

=====

Version two
KCd3Pd: optimized geometry, PBE.

```
KCd3Pd
1.0
0.000 7.140 7.140
7.140 0.000 7.140
7.140 7.140 0.000
K Cd Pd
4 12 4
Direct
0.000 0.000 0.000
0.000 0.000 0.500
0.000 0.500 0.000
0.500 0.000 0.000
0.193 0.193 0.557
0.193 0.557 0.193
0.193 0.557 0.557
0.443 0.443 0.807
0.443 0.807 0.443
0.443 0.807 0.807
0.557 0.193 0.193
0.557 0.193 0.557
0.557 0.557 0.193
0.807 0.443 0.443
0.807 0.443 0.807
0.807 0.807 0.443
0.000 0.500 0.500
0.500 0.000 0.500
0.500 0.500 0.000
0.500 0.500 0.500
```

DOS at the Fermi energy = 3.66 states/eV/f.u.
M_tot = 0.00 μB/f.u.

=====

Version three
KCd3Pd: optimized geometry, PBE.

```
KCd3Pd
1.0
3.740 2.159 5.744
-3.740 2.159 5.744
0.000 -4.319 5.744
K Cd Pd
2 6 2
Direct
0.099 0.099 0.099
0.901 0.901 0.901
0.146 0.564 0.564
0.436 0.436 0.854
0.436 0.854 0.436
0.564 0.146 0.564
0.564 0.564 0.146
0.854 0.436 0.436
0.301 0.301 0.301
0.699 0.699 0.699
```

DOS at the Fermi energy = 2.00 states/eV/f.u.
M_tot = 0.00 μB/f.u.

=====

Quick one: least stable of them? version two

=====

Version one
KCd3Pd: optimized geometry, PBE.

```
KCd3Pd
1.0
5.303 0.000 0.000
0.000 5.303 0.000
0.000 0.000 5.303
K Cd Pd
1 3 1
Direct
0.000 0.000 0.000
0.000 0.500 0.500
0.500 0.000 0.500
0.500 0.500 0.000
0.500 0.500 0.500
```

DOS at the Fermi energy = 2.56 states/eV/f.u.
M_tot = 0.00 μB/f.u.

=====

Version two
KCd3Pd: optimized geometry, PBE.

```
KCd3Pd
1.0
5.750 0.000 0.000
-2.875 4.980 0.000
0.000 0.000 20.352
K Cd Pd
3 9 3
Direct
0.000 0.000 0.000
0.333 0.667 0.667
0.667 0.333 0.333
0.168 0.336 0.831
0.168 0.832 0.831
0.330 0.165 0.165
0.501 0.003 0.498
0.501 0.499 0.498
0.664 0.832 0.831
0.835 0.165 0.165
0.835 0.670 0.165
0.997 0.499 0.498
0.000 0.000 0.726
0.333 0.667 0.393
0.667 0.333 0.060
```

DOS at the Fermi energy = 4.14 states/eV/f.u.
M_tot = 0.00 μB/f.u.

=====

Version three
KCd3Pd: optimized geometry, PBE.

```
KCd3Pd
1.0
-2.631 2.631 12.556
2.631 -2.631 12.556
2.631 2.631 -12.556
K Cd Pd
2 6 2
Direct
0.000 0.000 0.000
0.750 0.250 0.500
0.342 0.342 0.000
0.377 0.131 0.246
0.658 0.658 0.000
0.869 0.116 0.246
0.869 0.623 0.754
0.884 0.131 0.754
0.191 0.691 0.500
0.309 0.809 0.500
```

DOS at the Fermi energy = 2.30 states/eV/f.u.
M_tot = 0.00 μB/f.u.

=====

Quick one: least stable of them? version two